(1)
The following is a PBEsol calculation of a relaxed structure of Al5C, from the Alexandria database.

abc: 4.811 12.508 2.924
angles: 90.00 90.00 90.00
Element x y z (fractional)
1 Al 0.000 0.000 0.000
2 Al 0.000 0.194 0.500
3 Al 0.000 0.389 0.000
4 Al 0.000 0.611 0.000
5 Al 0.000 0.806 0.500
6 Al 0.500 0.111 0.000
7 Al 0.500 0.306 0.500
8 Al 0.500 0.500 0.000
9 Al 0.500 0.694 0.500
10 Al 0.500 0.889 0.000
11 C 0.000 0.500 0.500
12 C 0.500 0.000 0.500

volume	14.662	A^3/atom
E_form	313	meV per atom
SG	Cmmm, No. 65

(2)
The following is a PBEsol calculation of a relaxed structure of AlC3, from the Alexandria database.

abc: 4.171 4.171 5.477
angles: 90.00 90.00 120.00
Element x y z (fractional)
1 Al 0.333 0.667 0.250
2 Al 0.667 0.333 0.750
3 C 0.116 0.232 0.750
4 C 0.116 0.884 0.750
5 C 0.232 0.116 0.250
6 C 0.768 0.884 0.750
7 C 0.884 0.116 0.250
8 C 0.884 0.768 0.250

volume	10.314	A^3/atom
E_form	1648	meV per atom
SG	P6_3/mmc, No. 194

(3)
The following is a PBEsol calculation of a relaxed structure of Al2C3, from the Alexandria database.

abc: 2.809 2.809 18.847
angles: 90.00 90.00 120.00
Element x y z (fractional)
1 Al 0.000 0.000 0.110
2 Al 0.000 0.000 0.890
3 Al 0.333 0.667 0.557
4 Al 0.333 0.667 0.776
5 Al 0.667 0.333 0.224
6 Al 0.667 0.333 0.443
7 C 0.000 0.000 0.318
8 C 0.000 0.000 0.500
9 C 0.000 0.000 0.682
10 C 0.333 0.667 0.167
11 C 0.333 0.667 0.348
12 C 0.333 0.667 0.985
13 C 0.667 0.333 0.015
14 C 0.667 0.333 0.652
15 C 0.667 0.333 0.833

volume	8.588	A^3/atom
E_form	630	meV per atom
SG	R-3m, No. 166

(4)
The following is a PBEsol calculation of a relaxed structure of AlC3, from the Alexandria database.

abc: 2.703 2.703 9.175
angles: 90.00 90.00 90.00
Element x y z (fractional)
1 Al 0.000 0.000 0.000
2 Al 0.500 0.500 0.500
3 C 0.000 0.000 0.500
4 C 0.000 0.500 0.250
5 C 0.000 0.500 0.750
6 C 0.500 0.000 0.250
7 C 0.500 0.000 0.750
8 C 0.500 0.500 0.000

volume	8.378	A^3/atom
E_form	2316	meV per atom
SG	I4/mmm, No. 139

(5)
The following is a PBEsol calculation of a relaxed structure of Ca2AlC, from the Alexandria database.

abc: 10.020 10.020 3.854
angles: 90.00 90.00 90.00
Element x y z (fractional)
1 Ca 0.067 0.750 0.125
2 Ca 0.250 0.067 0.875
3 Ca 0.250 0.433 0.375
4 Ca 0.433 0.750 0.625
5 Ca 0.567 0.250 0.625
6 Ca 0.750 0.567 0.375
7 Ca 0.750 0.933 0.875
8 Ca 0.933 0.250 0.125
9 Al 0.000 0.000 0.500
10 Al 0.000 0.500 0.750
11 Al 0.500 0.000 0.250
12 Al 0.500 0.500 0.000
13 C 0.000 0.000 0.000
14 C 0.000 0.500 0.250
15 C 0.500 0.000 0.750
16 C 0.500 0.500 0.500

volume	24.186	A^3/atom
E_form	191	meV per atom
SG	I-42d, No. 122

(6)
The following is a PBEsol calculation of a relaxed structure of Ca4Al2H22CO20, from the Alexandria database.

abc: 5.708 8.333 9.592
angles: 66.55 81.74 80.52
Element x y z (fractional)
1 Ca 0.000 0.000 0.000
2 Ca 0.036 0.246 0.613
3 Ca 0.500 0.506 0.499
4 Ca 0.545 0.738 0.104
5 Al 0.025 0.620 0.302
6 Al 0.517 0.125 0.807
7 H 0.059 0.633 0.031
8 H 0.086 0.247 0.131
9 H 0.192 0.345 0.848
10 H 0.206 0.880 0.301
11 H 0.231 0.122 0.340
12 H 0.257 0.622 0.778
13 H 0.295 0.837 0.575
14 H 0.344 0.394 0.267
15 H 0.367 0.859 0.801
16 H 0.478 0.485 0.975
17 H 0.484 0.104 0.081
18 H 0.503 0.129 0.297
19 H 0.543 0.136 0.533
20 H 0.572 0.766 0.622
21 H 0.676 0.394 0.804
22 H 0.701 0.842 0.344
23 H 0.733 0.399 0.039
24 H 0.840 0.912 0.752
25 H 0.852 0.359 0.306
26 H 0.868 0.146 0.238
27 H 0.993 0.581 0.854
28 H 0.995 0.628 0.562
29 C 0.892 0.946 0.500
30 O 0.085 0.554 0.510
31 O 0.097 0.000 0.490
32 O 0.161 0.546 0.875
33 O 0.173 0.833 0.228
34 O 0.205 0.233 0.834
35 O 0.338 0.508 0.276
36 O 0.349 0.185 0.251
37 O 0.373 0.909 0.877
38 O 0.407 0.729 0.628
39 O 0.450 0.194 0.598
40 O 0.584 0.053 0.014
41 O 0.640 0.512 0.974
42 O 0.663 0.340 0.732
43 O 0.709 0.733 0.325
44 O 0.750 0.031 0.392
45 O 0.830 0.014 0.782
46 O 0.831 0.809 0.615
47 O 0.876 0.406 0.380
48 O 0.922 0.224 0.128
49 O 0.959 0.688 0.096

volume	8.395	A^3/atom
energy	-285.16	eV/cell
SG	P1, No. 1

(7)
The following is a PBEsol calculation of a relaxed structure of CaHfAlC2, from the Alexandria database.

abc: 4.022 4.022 4.757
angles: 90.00 90.00 90.00
Element x y z (fractional)
1 Ca 0.000 0.000 0.000
2 Hf 0.500 0.500 0.000
3 Al 0.000 0.000 0.500
4 C 0.000 0.500 0.500
5 C 0.500 0.000 0.500

volume	15.386	A^3/atom
E_form	1906	meV per atom
SG	P4/mmm, No. 123

(8)
The following is a PBEsol calculation of a relaxed structure of Ca2TiAlC, from the Alexandria database.

abc: 5.146 5.146 3.942
angles: 90.00 90.00 90.00
Element x y z (fractional)
1 Ca 0.000 0.500 0.000
2 Ca 0.500 0.000 0.000
3 Ti 0.000 0.000 0.500
4 Al 0.500 0.500 0.500
5 C 0.500 0.500 0.000

volume	20.877	A^3/atom
E_form	487	meV per atom
SG	P4/mmm, No. 123

(9)
The following is a PBEsol calculation of a relaxed structure of AlCd3C, from the Alexandria database.

abc: 5.107 5.107 5.107
angles: 90.00 90.00 90.00
Element x y z (fractional)
1 Al 0.000 0.000 0.000
2 Cd 0.000 0.000 0.500
3 Cd 0.000 0.500 0.000
4 Cd 0.500 0.000 0.000
5 C 0.500 0.500 0.500

volume	26.639	A^3/atom
E_form	1720	meV per atom
SG	Pm-3m, No. 221

(10)
The following is a PBEsol calculation of a relaxed structure of Al3CdC, from the Alexandria database.

abc: 4.913 4.913 4.913
angles: 90.00 90.00 90.00
Element x y z (fractional)
1 Al 0.000 0.000 0.500
2 Al 0.000 0.500 0.000
3 Al 0.500 0.000 0.000
4 Cd 0.000 0.000 0.000
5 C 0.500 0.500 0.500

volume	23.721	A^3/atom
E_form	2001	meV per atom
SG	Pm-3m, No. 221

(11)
The following is a PBEsol calculation of a relaxed structure of AlCdC2Cl, from the Alexandria database.

abc: 4.076 4.076 5.045
angles: 90.00 90.00 90.00
Element x y z (fractional)
1 Al 0.000 0.000 0.000
2 Cd 0.500 0.500 0.000
3 C 0.000 0.500 0.500
4 C 0.500 0.000 0.500
5 Cl 0.500 0.500 0.500

volume	16.763	A^3/atom
uncorrected formation energy	2.552	eV per atom
SG	P4/mmm, No. 123

(12)
The following is a PBEsol calculation of a relaxed structure of AlCd2FeC, from the Alexandria database.

abc: 4.631 4.631 3.768
angles: 90.00 90.00 90.00
Element x y z (fractional)
1 Al 0.000 0.000 0.000
2 Cd 0.000 0.500 0.500
3 Cd 0.500 0.000 0.500
4 Fe 0.500 0.500 0.000
5 C 0.000 0.000 0.500

volume	16.166	A^3/atom
E_form	931	meV per atom
SG	P4/mmm, No. 123

Look up the volume of the eighth one.
20.877 A^3/atom

volume of number 6 (Ca4Al2H22CO20)?
8.395 A^3/atom